{"formula": "LuHfCdRu", "functional": "GGA-PBE", "state": "optimized geometry", "lattice": [[0.0000, 3.4223, 3.4223], [3.4223, 0.0000, 3.4223], [3.4223, 3.4223, 0.0000]], "species": ["Lu", "Hf", "Cd", "Ru"], "fractional_positions": [[0.0000, 0.0000, 0.0000], [0.5000, 0.5000, 0.5000], [0.7500, 0.7500, 0.7500], [0.2500, 0.2500, 0.2500]], "crystal_system": "cubic", "e_tot_ha_per_atom": -0.23628, "spacegroup": "F-43m (216)", "magmom_total_mub_per_cell": 0.000, "dos_ef_per_ev_cell": 3.03}

{"formula": "LuHfTlCd", "functional": "GGA-PBE", "state": "optimized geometry", "lattice": [[0.0000, 3.5988, 3.5988], [3.5988, 0.0000, 3.5988], [3.5988, 3.5988, 0.0000]], "species": ["Lu", "Hf", "Tl", "Cd"], "fractional_positions": [[0.0000, 0.0000, 0.0000], [0.5000, 0.5000, 0.5000], [0.2500, 0.2500, 0.2500], [0.7500, 0.7500, 0.7500]], "crystal_system": "cubic", "e_tot_ha_per_atom": -0.16380, "spacegroup": "F-43m (216)", "magmom_total_mub_per_cell": 0.001, "dos_ef_per_ev_cell": 4.11}

{"formula": "HfMg5Cd6", "functional": "GGA-PBE", "state": "optimized geometry", "lattice": [[5.0010, 0.0000, 0.0000], [0.0081, 6.7159, 0.0000], [2.2592, 3.3427, 7.6330]], "species": ["Hf", "Mg", "Mg", "Mg", "Mg", "Mg", "Cd", "Cd", "Cd", "Cd", "Cd", "Cd"], "fractional_positions": [[0.0000, 0.0000, 0.0000], [0.0000, 0.5000, 0.0000], [0.3726, 0.8359, 0.3294], [0.3757, 0.3323, 0.3354], [0.6243, 0.6677, 0.6646], [0.6274, 0.1641, 0.6706], [0.1242, 0.9209, 0.6658], [0.1247, 0.4139, 0.6653], [0.4989, 0.2502, 0.9994], [0.5011, 0.7498, 0.0006], [0.8753, 0.5861, 0.3347], [0.8758, 0.0791, 0.3342]], "crystal_system": "triclinic", "e_tot_ha_per_atom": -0.07410, "spacegroup": "P-1 (2)", "magmom_total_mub_per_cell": 0.000, "dos_ef_per_ev_cell": 4.48}

{"formula": "HfMgCd4", "functional": "GGA-PBE", "state": "optimized geometry", "lattice": [[3.2311, 0.0000, 0.0000], [0.0000, 3.2311, 0.0000], [0.0000, 0.0000, 12.3264]], "species": ["Hf", "Mg", "Cd", "Cd", "Cd", "Cd"], "fractional_positions": [[0.0000, 0.0000, 0.0000], [0.5000, 0.5000, 0.5000], [0.0000, 0.0000, 0.3356], [0.0000, 0.0000, 0.6644], [0.5000, 0.5000, 0.1675], [0.5000, 0.5000, 0.8325]], "crystal_system": "tetragonal", "e_tot_ha_per_atom": -0.09435, "spacegroup": "P4/mmm (123)", "polymorph_energy_ev_per_atom": 0.0000, "magmom_total_mub_per_cell": 0.000, "dos_ef_per_ev_cell": 2.11}

{"formula": "HfMgCd3", "functional": "GGA-PBE", "state": "optimized geometry", "lattice": [[5.5962, -1.6025, 0.0000], [5.5962, 1.6025, 0.0000], [-0.0540, 0.0000, 12.0348]], "species": ["Hf", "Hf", "Mg", "Mg", "Cd", "Cd", "Cd", "Cd", "Cd", "Cd"], "fractional_positions": [[0.1384, 0.1384, 0.4801], [0.8616, 0.8616, 0.5199], [0.3424, 0.3424, 0.0783], [0.6576, 0.6576, 0.9217], [0.0727, 0.0727, 0.1192], [0.2604, 0.2604, 0.7198], [0.4678, 0.4678, 0.3176], [0.5322, 0.5322, 0.6824], [0.7396, 0.7396, 0.2802], [0.9273, 0.9273, 0.8808]], "crystal_system": "monoclinic", "e_tot_ha_per_atom": -0.10651, "spacegroup": "C2/m (12)", "polymorph_energy_ev_per_atom": 0.0000, "magmom_total_mub_per_cell": 0.000, "dos_ef_per_ev_cell": 3.85}

{"formula": "Hf4MgCd2", "functional": "GGA-PBE", "state": "optimized geometry", "lattice": [[1.5319, -16.8227, 0.0000], [1.5319, 16.8227, 0.0000], [0.0000, 0.0000, 3.0797]], "species": ["Hf", "Hf", "Hf", "Hf", "Mg", "Cd", "Cd"], "fractional_positions": [[0.0762, 0.9238, 0.0000], [0.3605, 0.6395, 0.5000], [0.6395, 0.3605, 0.5000], [0.9238, 0.0762, 0.0000], [0.5000, 0.5000, 0.5000], [0.2115, 0.7885, 0.0000], [0.7885, 0.2115, 0.0000]], "crystal_system": "orthorhombic", "e_tot_ha_per_atom": -0.22754, "spacegroup": "Cmmm (65)", "magmom_total_mub_per_cell": 0.000, "dos_ef_per_ev_cell": 4.20}

{"formula": "HfMg12Cd3", "functional": "GGA-PBE", "state": "optimized geometry", "lattice": [[4.4554, 0.0000, 0.0000], [0.0000, 4.4554, 0.0000], [0.0000, 0.0000, 17.6993]], "species": ["Hf", "Mg", "Mg", "Mg", "Mg", "Mg", "Mg", "Mg", "Mg", "Mg", "Mg", "Mg", "Mg", "Cd", "Cd", "Cd"], "fractional_positions": [[0.0000, 0.0000, 0.0000], [0.0000, 0.5000, 0.1250], [0.0000, 0.5000, 0.3753], [0.0000, 0.5000, 0.6247], [0.0000, 0.5000, 0.8750], [0.5000, 0.0000, 0.1250], [0.5000, 0.0000, 0.3753], [0.5000, 0.0000, 0.6247], [0.5000, 0.0000, 0.8750], [0.5000, 0.5000, 0.0000], [0.5000, 0.5000, 0.2527], [0.5000, 0.5000, 0.5000], [0.5000, 0.5000, 0.7473], [0.0000, 0.0000, 0.2486], [0.0000, 0.0000, 0.5000], [0.0000, 0.0000, 0.7514]], "crystal_system": "tetragonal", "e_tot_ha_per_atom": -0.07332, "spacegroup": "P4/mmm (123)", "magmom_total_mub_per_cell": 0.000, "dos_ef_per_ev_cell": 8.21}

{"formula": "HfMg14Cd", "functional": "GGA-PBE", "state": "optimized geometry", "lattice": [[10.1824, 0.0000, 0.0000], [0.0000, 3.1758, 5.5550], [0.0000, -3.1758, 5.5550]], "species": ["Hf", "Mg", "Mg", "Mg", "Mg", "Mg", "Mg", "Mg", "Mg", "Mg", "Mg", "Mg", "Mg", "Mg", "Mg", "Cd"], "fractional_positions": [[0.0000, 0.0000, 0.0000], [0.0000, 0.0042, 0.4953], [0.0000, 0.4953, 0.0042], [0.2419, 0.6613, 0.6613], [0.2452, 0.1600, 0.6686], [0.2452, 0.6686, 0.1600], [0.2474, 0.1598, 0.1598], [0.5000, 0.4972, 0.4972], [0.5000, 0.4980, 0.9960], [0.5000, 0.9960, 0.4980], [0.5000, 0.9967, 0.9967], [0.7526, 0.1598, 0.1598], [0.7548, 0.1600, 0.6686], [0.7548, 0.6686, 0.1600], [0.7581, 0.6613, 0.6613], [0.0000, 0.4943, 0.4943]], "crystal_system": "orthorhombic", "e_tot_ha_per_atom": -0.07562, "spacegroup": "Amm2 (38)", "magmom_total_mub_per_cell": 0.000, "dos_ef_per_ev_cell": 6.66}

{"formula": "Hf2MgCd", "functional": "GGA-PBE", "state": "optimized geometry", "lattice": [[3.0767, 0.0000, 0.0000], [0.0000, 3.0767, 0.0000], [0.0000, 0.0000, 9.3196]], "species": ["Hf", "Hf", "Mg", "Cd"], "fractional_positions": [[0.0000, 0.0000, 0.0000], [0.5000, 0.5000, 0.2294], [0.5000, 0.5000, 0.7308], [0.0000, 0.0000, 0.4876]], "crystal_system": "tetragonal", "e_tot_ha_per_atom": -0.20817, "spacegroup": "P4mm (99)", "magmom_total_mub_per_cell": 0.000, "dos_ef_per_ev_cell": 2.73}

{"formula": "HfMg6Cd", "functional": "GGA-PBE", "state": "optimized geometry", "lattice": [[5.0031, 0.0000, 0.0000], [0.0000, 3.1581, 5.6106], [0.0000, -3.1581, 5.6106]], "species": ["Hf", "Mg", "Mg", "Mg", "Mg", "Mg", "Mg", "Cd"], "fractional_positions": [[0.0000, 0.0000, 0.0000], [0.0000, 0.4918, 0.4918], [0.0000, 0.4976, 0.9981], [0.0000, 0.9981, 0.4976], [0.5000, 0.1520, 0.6624], [0.5000, 0.6532, 0.6532], [0.5000, 0.6624, 0.1520], [0.5000, 0.1533, 0.1533]], "crystal_system": "orthorhombic", "e_tot_ha_per_atom": -0.09174, "spacegroup": "Amm2 (38)", "polymorph_energy_ev_per_atom": 0.0017, "magmom_total_mub_per_cell": 0.001, "dos_ef_per_ev_cell": 6.16}

{"formula": "HfMgCd2", "functional": "GGA-PBE", "state": "optimized geometry", "lattice": [[2.7213, -1.5525, 0.0000], [2.7213, 1.5525, 0.0000], [-1.8931, 0.0000, 10.2702]], "species": ["Hf", "Mg", "Cd", "Cd"], "fractional_positions": [[0.0000, 0.0000, 0.0000], [0.1708, 0.1708, 0.4991], [0.5857, 0.5857, 0.7470], [0.7560, 0.7560, 0.2529]], "crystal_system": "monoclinic", "e_tot_ha_per_atom": -0.12278, "spacegroup": "Cm (8)", "magmom_total_mub_per_cell": 0.000, "dos_ef_per_ev_cell": 2.70}

{"formula": "Hf3MgCd", "functional": "GGA-PBE", "state": "optimized geometry", "lattice": [[5.0129, 0.0000, 0.0000], [0.0000, 5.0129, 0.0000], [0.0000, 0.0000, 5.0129]], "species": ["Hf", "Hf", "Hf", "Mg", "Cd"], "fractional_positions": [[0.0000, 0.0000, 0.5000], [0.0000, 0.5000, 0.0000], [0.5000, 0.0000, 0.0000], [0.0000, 0.0000, 0.0000], [0.5000, 0.5000, 0.5000]], "crystal_system": "cubic", "e_tot_ha_per_atom": -0.19541, "spacegroup": "Pm-3m (221)", "polymorph_energy_ev_per_atom": 0.0000, "magmom_total_mub_per_cell": 0.000, "dos_ef_per_ev_cell": 3.66}

{"formula": "Hf2MgCd", "functional": "GGA-PBE", "state": "optimized geometry", "lattice": [[3.5414, 0.0000, 0.0000], [0.0000, 3.5414, 0.0000], [0.0000, 0.0000, 6.7503]], "species": ["Hf", "Hf", "Mg", "Cd"], "fractional_positions": [[0.0000, 0.0000, 0.2473], [0.0000, 0.0000, 0.7527], [0.5000, 0.5000, 0.0000], [0.5000, 0.5000, 0.5000]], "crystal_system": "tetragonal", "e_tot_ha_per_atom": -0.20080, "spacegroup": "P4/mmm (123)", "magmom_total_mub_per_cell": 0.000, "dos_ef_per_ev_cell": 2.09}

{"formula": "HfMgCd3", "functional": "GGA-PBE", "state": "optimized geometry", "lattice": [[4.9905, 0.0000, 0.0000], [0.0000, 4.9905, 0.0000], [0.0000, 0.0000, 4.9905]], "species": ["Hf", "Mg", "Cd", "Cd", "Cd"], "fractional_positions": [[0.0000, 0.0000, 0.0000], [0.5000, 0.5000, 0.5000], [0.0000, 0.5000, 0.5000], [0.5000, 0.0000, 0.5000], [0.5000, 0.5000, 0.0000]], "crystal_system": "cubic", "e_tot_ha_per_atom": -0.07615, "spacegroup": "Pm-3m (221)", "polymorph_energy_ev_per_atom": 0.8262, "magmom_total_mub_per_cell": 0.000, "dos_ef_per_ev_cell": 4.04}

{"formula": "HfMgCd2", "functional": "GGA-PBE", "state": "optimized geometry", "lattice": [[3.2124, 0.0000, 0.0000], [0.0000, 3.2124, 0.0000], [0.0000, 0.0000, 8.1538]], "species": ["Hf", "Mg", "Cd", "Cd"], "fractional_positions": [[0.0000, 0.0000, 0.0000], [0.0000, 0.0000, 0.5000], [0.5000, 0.5000, 0.2557], [0.5000, 0.5000, 0.7443]], "crystal_system": "tetragonal", "e_tot_ha_per_atom": -0.12511, "spacegroup": "P4/mmm (123)", "magmom_total_mub_per_cell": 0.000, "dos_ef_per_ev_cell": 2.42}

{"formula": "HfMg6Cd", "functional": "GGA-PBE", "state": "optimized geometry", "lattice": [[4.4044, 0.0000, 0.0000], [0.0000, 4.4044, 0.0000], [0.0000, 0.0000, 9.1531]], "species": ["Hf", "Mg", "Mg", "Mg", "Mg", "Mg", "Mg", "Cd"], "fractional_positions": [[0.0000, 0.0000, 0.0000], [0.0000, 0.5000, 0.2470], [0.0000, 0.5000, 0.7530], [0.5000, 0.0000, 0.2470], [0.5000, 0.0000, 0.7530], [0.5000, 0.5000, 0.0000], [0.5000, 0.5000, 0.5000], [0.0000, 0.0000, 0.5000]], "crystal_system": "tetragonal", "e_tot_ha_per_atom": -0.09144, "spacegroup": "P4/mmm (123)", "polymorph_energy_ev_per_atom": 0.0098, "magmom_total_mub_per_cell": 0.002, "dos_ef_per_ev_cell": 6.42}

{"formula": "HfMgCd2", "functional": "GGA-PBE", "state": "optimized geometry", "lattice": [[1.5587, 0.8999, 10.3286], [-1.5587, 0.8999, 10.3286], [0.0000, -1.7998, 10.3286]], "species": ["Hf", "Mg", "Cd", "Cd"], "fractional_positions": [[0.0000, 0.0000, 0.0000], [0.5000, 0.5000, 0.5000], [0.2490, 0.2490, 0.2490], [0.7510, 0.7510, 0.7510]], "crystal_system": "trigonal", "e_tot_ha_per_atom": -0.12227, "spacegroup": "R-3m (166)", "magmom_total_mub_per_cell": 0.000, "dos_ef_per_ev_cell": 2.61}

{"formula": "HfMg6Cd", "functional": "GGA-PBE", "state": "optimized geometry", "lattice": [[5.0035, 0.0000, 0.0000], [0.0000, 3.1196, 5.6523], [0.0000, -3.1196, 5.6523]], "species": ["Hf", "Mg", "Mg", "Mg", "Mg", "Mg", "Mg", "Cd"], "fractional_positions": [[0.0000, 0.0000, 0.0000], [0.0000, 0.4977, 0.9974], [0.0000, 0.9974, 0.4977], [0.5000, 0.1472, 0.6647], [0.5000, 0.1560, 0.1560], [0.5000, 0.6482, 0.6482], [0.5000, 0.6647, 0.1472], [0.0000, 0.4905, 0.4905]], "crystal_system": "orthorhombic", "e_tot_ha_per_atom": -0.09180, "spacegroup": "Amm2 (38)", "polymorph_energy_ev_per_atom": 0.0000, "magmom_total_mub_per_cell": 0.000, "dos_ef_per_ev_cell": 5.83}

{"formula": "HfMg14Cd", "functional": "GGA-PBE", "state": "optimized geometry", "lattice": [[6.3805, 0.0000, 0.0000], [-3.1903, 5.5257, 0.0000], [0.0000, 0.0000, 10.1969]], "species": ["Hf", "Mg", "Mg", "Mg", "Mg", "Mg", "Mg", "Mg", "Mg", "Mg", "Mg", "Mg", "Mg", "Mg", "Mg", "Cd"], "fractional_positions": [[0.0000, 0.0000, 0.0000], [0.0062, 0.5031, 0.0000], [0.1627, 0.3253, 0.2470], [0.1627, 0.3253, 0.7530], [0.1627, 0.8373, 0.2470], [0.1627, 0.8373, 0.7530], [0.4969, 0.5031, 0.0000], [0.4969, 0.9938, 0.0000], [0.5009, 0.0019, 0.5000], [0.5009, 0.4991, 0.5000], [0.6667, 0.3333, 0.2423], [0.6667, 0.3333, 0.7577], [0.6747, 0.8373, 0.2470], [0.6747, 0.8373, 0.7530], [0.9981, 0.4991, 0.5000], [0.0000, 0.0000, 0.5000]], "crystal_system": "hexagonal", "e_tot_ha_per_atom": -0.07566, "spacegroup": "P-6m2 (187)", "magmom_total_mub_per_cell": 0.000, "dos_ef_per_ev_cell": 6.27}

{"formula": "Hf2Mg2Cd", "functional": "GGA-PBE", "state": "optimized geometry", "lattice": [[6.8763, 0.0000, 0.0000], [0.0000, 6.8763, 0.0000], [0.0000, 0.0000, 4.5704]], "species": ["Hf", "Hf", "Hf", "Hf", "Mg", "Mg", "Mg", "Mg", "Cd", "Cd"], "fractional_positions": [[0.1624, 0.3376, 0.0000], [0.3376, 0.8376, 0.0000], [0.6624, 0.1624, 0.0000], [0.8376, 0.6624, 0.0000], [0.1377, 0.6377, 0.5000], [0.3623, 0.1377, 0.5000], [0.6377, 0.8623, 0.5000], [0.8623, 0.3623, 0.5000], [0.0000, 0.0000, 0.5000], [0.5000, 0.5000, 0.5000]], "crystal_system": "tetragonal", "e_tot_ha_per_atom": -0.16737, "spacegroup": "P4/mbm (127)", "polymorph_energy_ev_per_atom": 0.2757, "magmom_total_mub_per_cell": 0.000, "dos_ef_per_ev_cell": 1.91}

{"formula": "Hf2MgCd2", "functional": "GGA-PBE", "state": "optimized geometry", "lattice": [[-2.0735, 2.0735, 7.0220], [2.0735, -2.0735, 7.0220], [2.0735, 2.0735, -7.0220]], "species": ["Hf", "Hf", "Mg", "Cd", "Cd"], "fractional_positions": [[0.2500, 0.7500, 0.5000], [0.7500, 0.2500, 0.5000], [0.0000, 0.0000, 0.0000], [0.4044, 0.4044, 0.0000], [0.5956, 0.5956, 0.0000]], "crystal_system": "tetragonal", "e_tot_ha_per_atom": -0.15881, "spacegroup": "I4/mmm (139)", "polymorph_energy_ev_per_atom": 0.1616, "magmom_total_mub_per_cell": 0.000, "dos_ef_per_ev_cell": 3.36}

{"formula": "HfMg2Cd9", "functional": "GGA-PBE", "state": "optimized geometry", "lattice": [[4.5352, 0.0000, 0.0000], [0.0000, 4.5352, 0.0000], [0.0000, 0.0000, 12.5933]], "species": ["Hf", "Mg", "Mg", "Cd", "Cd", "Cd", "Cd", "Cd", "Cd", "Cd", "Cd", "Cd"], "fractional_positions": [[0.0000, 0.0000, 0.0000], [0.0000, 0.0000, 0.3271], [0.0000, 0.0000, 0.6729], [0.0000, 0.5000, 0.1653], [0.0000, 0.5000, 0.5000], [0.0000, 0.5000, 0.8347], [0.5000, 0.0000, 0.1653], [0.5000, 0.0000, 0.5000], [0.5000, 0.0000, 0.8347], [0.5000, 0.5000, 0.0000], [0.5000, 0.5000, 0.3374], [0.5000, 0.5000, 0.6626]], "crystal_system": "tetragonal", "e_tot_ha_per_atom": -0.06694, "spacegroup": "P4/mmm (123)", "magmom_total_mub_per_cell": 0.000, "dos_ef_per_ev_cell": 1.96}

{"formula": "HfMgCd2", "functional": "GGA-PBE", "state": "optimized geometry", "lattice": [[4.7687, 0.0000, 0.0000], [0.0000, 4.7687, 0.0000], [0.0000, 0.0000, 3.7234]], "species": ["Hf", "Mg", "Cd", "Cd"], "fractional_positions": [[0.0000, 0.0000, 0.0000], [0.5000, 0.5000, 0.0000], [0.0000, 0.5000, 0.5000], [0.5000, 0.0000, 0.5000]], "crystal_system": "tetragonal", "e_tot_ha_per_atom": -0.12372, "spacegroup": "P4/mmm (123)", "magmom_total_mub_per_cell": 0.000, "dos_ef_per_ev_cell": 1.89}

{"formula": "Hf4MgCd", "functional": "GGA-PBE", "state": "optimized geometry", "lattice": [[3.0710, 0.0000, 0.0000], [0.0000, 3.0710, 0.0000], [0.0000, 0.0000, 14.2634]], "species": ["Hf", "Hf", "Hf", "Hf", "Mg", "Cd"], "fractional_positions": [[0.0000, 0.0000, 0.1706], [0.0000, 0.0000, 0.8294], [0.5000, 0.5000, 0.3206], [0.5000, 0.5000, 0.6794], [0.0000, 0.0000, 0.5000], [0.5000, 0.5000, 0.0000]], "crystal_system": "tetragonal", "e_tot_ha_per_atom": -0.26037, "spacegroup": "P4/mmm (123)", "magmom_total_mub_per_cell": 0.000, "dos_ef_per_ev_cell": 3.64}

{"formula": "Hf2MgCd", "functional": "GGA-PBE", "state": "optimized geometry", "lattice": [[4.3550, 0.0000, 0.0000], [0.0000, 4.3550, 0.0000], [0.0000, 0.0000, 4.4807]], "species": ["Hf", "Hf", "Mg", "Cd"], "fractional_positions": [[0.0000, 0.5000, 0.0000], [0.5000, 0.0000, 0.0000], [0.0000, 0.0000, 0.5000], [0.5000, 0.5000, 0.5000]], "crystal_system": "tetragonal", "e_tot_ha_per_atom": -0.20296, "spacegroup": "P4/mmm (123)", "magmom_total_mub_per_cell": 0.446, "dos_ef_per_ev_cell": 4.33}